Density functional theory data (PBE-GGA) for Sr3Li2In after structural relaxation.

Cell and atoms, written as POSCAR:
```
Sr3Li2In
1.0
-1.839 -4.830 2.753
2.359 -0.395 -5.345
12.949 -1.605 5.833
Sr Li In
6 4 2
Direct
0.333 0.667 0.418 Sr
0.667 0.333 0.089 Sr
0.333 0.667 0.911 Sr
0.000 0.000 0.743 Sr
0.000 0.000 0.257 Sr
0.667 0.333 0.582 Sr
0.333 0.667 0.173 Li
0.000 0.000 0.000 Li
0.667 0.333 0.827 Li
0.000 0.000 0.500 Li
0.333 0.667 0.666 In
0.667 0.333 0.334 In
```

Calculated values
- ΔH_f (0 K): -0.1598 eV/atom
- SG: P-3m1